No. 1
Computed, not measured: crystalline CeTiAs2 at its relaxed geometry at the PBE level of DFT.

Output
- energy above the most stable polymorph in this dataset (eV per atom) = 0.002
- SG = R-3m, No. 166
- energy of formation (eV per atom) = -1.13

Cell and atoms, written as CIF:
```
data_CeTiAs2
_space_group_name_H-M_alt 'P 1'
_space_group_IT_number 1
_cell_length_a 3.944
_cell_length_b 3.944
_cell_length_c 19.035
_cell_angle_alpha 90.00
_cell_angle_beta 90.00
_cell_angle_gamma 120.00
loop_
_space_group_symop_operation_xyz
'x,y,z'
loop_
_atom_site_label
_atom_site_type_symbol
_atom_site_fract_x
_atom_site_fract_y
_atom_site_fract_z
Ce1 Ce 0.000 0.000 0.000
Ce2 Ce 0.333 0.667 0.667
Ce3 Ce 0.667 0.333 0.333
Ti1 Ti 0.000 0.000 0.500
Ti2 Ti 0.333 0.667 0.167
Ti3 Ti 0.667 0.333 0.833
As1 As 0.000 0.000 0.238
As2 As 0.000 0.000 0.762
As3 As 0.333 0.667 0.428
As4 As 0.333 0.667 0.905
As5 As 0.667 0.333 0.095
As6 As 0.667 0.333 0.572
```

No. 2
Computed, not measured: crystalline SmHoGaIr at its relaxed geometry at the PBE level of DFT.

Output
- energy above the most stable polymorph in this dataset (eV per atom) = 0.000
- SG = Amm2, No. 38
- energy of formation (eV per atom) = -0.71

Cell and atoms, written as CIF:
```
data_SmHoGaIr
_space_group_name_H-M_alt 'P 1'
_space_group_IT_number 1
_cell_length_a 4.258
_cell_length_b 4.042
_cell_length_c 10.775
_cell_angle_alpha 90.00
_cell_angle_beta 90.00
_cell_angle_gamma 90.00
loop_
_space_group_symop_operation_xyz
'x,y,z'
loop_
_atom_site_label
_atom_site_type_symbol
_atom_site_fract_x
_atom_site_fract_y
_atom_site_fract_z
Sm1 Sm 0.000 0.000 0.000
Sm2 Sm 0.000 0.500 0.500
Ho1 Ho 0.500 0.000 0.717
Ho2 Ho 0.500 0.500 0.217
Ga1 Ga 0.500 0.000 0.423
Ga2 Ga 0.500 0.500 0.923
Ir1 Ir 0.000 0.000 0.281
Ir2 Ir 0.000 0.500 0.781
```

No. 3
Computed, not measured: crystalline NdHoB12 at its relaxed geometry at the PBE level of DFT.

Output
- SG = P4/mmm, No. 123
- energy of formation (eV per atom) = -0.43

Cell and atoms, written as CIF:
```
data_NdHoB12
_space_group_name_H-M_alt 'P 1'
_space_group_IT_number 1
_cell_length_a 4.112
_cell_length_b 4.112
_cell_length_c 8.228
_cell_angle_alpha 90.00
_cell_angle_beta 90.00
_cell_angle_gamma 90.00
loop_
_space_group_symop_operation_xyz
'x,y,z'
loop_
_atom_site_label
_atom_site_type_symbol
_atom_site_fract_x
_atom_site_fract_y
_atom_site_fract_z
Nd1 Nd 0.000 0.000 0.000
Ho1 Ho 0.000 0.000 0.500
B1 B 0.199 0.500 0.252
B2 B 0.199 0.500 0.748
B3 B 0.500 0.199 0.252
B4 B 0.500 0.199 0.748
B5 B 0.500 0.500 0.100
B6 B 0.500 0.500 0.401
B7 B 0.500 0.500 0.599
B8 B 0.500 0.500 0.900
B9 B 0.500 0.801 0.252
B10 B 0.500 0.801 0.748
B11 B 0.801 0.500 0.252
B12 B 0.801 0.500 0.748
```

No. 4
Computed, not measured: crystalline SrCrPd at its relaxed geometry at the PBE level of DFT.

Output
- energy above the most stable polymorph in this dataset (eV per atom) = 0.269
- SG = F-43m, No. 216
- energy of formation (eV per atom) = 0.27

Cell and atoms, written as CIF:
```
data_SrCrPd
_space_group_name_H-M_alt 'P 1'
_space_group_IT_number 1
_cell_length_a 6.872
_cell_length_b 6.872
_cell_length_c 6.872
_cell_angle_alpha 90.00
_cell_angle_beta 90.00
_cell_angle_gamma 90.00
loop_
_space_group_symop_operation_xyz
'x,y,z'
loop_
_atom_site_label
_atom_site_type_symbol
_atom_site_fract_x
_atom_site_fract_y
_atom_site_fract_z
Sr1 Sr 0.000 0.000 0.000
Sr2 Sr 0.000 0.500 0.500
Sr3 Sr 0.500 0.000 0.500
Sr4 Sr 0.500 0.500 0.000
Cr1 Cr 0.000 0.000 0.500
Cr2 Cr 0.000 0.500 0.000
Cr3 Cr 0.500 0.000 0.000
Cr4 Cr 0.500 0.500 0.500
Pd1 Pd 0.250 0.250 0.250
Pd2 Pd 0.250 0.750 0.750
Pd3 Pd 0.750 0.250 0.750
Pd4 Pd 0.750 0.750 0.250
```

No. 5
Computed, not measured: crystalline La2AlPb at its relaxed geometry at the PBE level of DFT.

Output
- SG = Pmmm, No. 47
- energy of formation (eV per atom) = -0.45

Cell and atoms, written as CIF:
```
data_La2AlPb
_space_group_name_H-M_alt 'P 1'
_space_group_IT_number 1
_cell_length_a 3.629
_cell_length_b 4.508
_cell_length_c 7.194
_cell_angle_alpha 90.00
_cell_angle_beta 90.00
_cell_angle_gamma 90.00
loop_
_space_group_symop_operation_xyz
'x,y,z'
loop_
_atom_site_label
_atom_site_type_symbol
_atom_site_fract_x
_atom_site_fract_y
_atom_site_fract_z
La1 La 0.000 0.000 0.235
La2 La 0.000 0.000 0.765
Al1 Al 0.500 0.500 0.000
Pb1 Pb 0.500 0.500 0.500
```

No. 6
Computed, not measured: crystalline PClF at its relaxed geometry at the PBE level of DFT.

Output
- energy above the most stable polymorph in this dataset (eV per atom) = 0.000
- formation energy from raw total energies (meV per atom) = -1252
- SG = P1, No. 1

Cell and atoms, written as CIF:
```
data_PClF
_space_group_name_H-M_alt 'P 1'
_space_group_IT_number 1
_cell_length_a 5.120
_cell_length_b 5.382
_cell_length_c 6.639
_cell_angle_alpha 66.34
_cell_angle_beta 81.39
_cell_angle_gamma 86.30
loop_
_space_group_symop_operation_xyz
'x,y,z'
loop_
_atom_site_label
_atom_site_type_symbol
_atom_site_fract_x
_atom_site_fract_y
_atom_site_fract_z
P1 P 0.000 0.000 0.000
P2 P 0.037 0.570 0.997
Cl1 Cl 0.721 0.872 0.279
Cl2 Cl 0.776 0.137 0.742
F1 F 0.227 0.447 0.187
F2 F 0.260 0.646 0.782
```

No. 7
Computed, not measured: crystalline TlGeAu at its relaxed geometry at the PBE level of DFT.

Output
- SG = P2_1, No. 4
- energy of formation (eV per atom) = 0.01

Cell and atoms, written as CIF:
```
data_TlGeAu
_space_group_name_H-M_alt 'P 1'
_space_group_IT_number 1
_cell_length_a 4.864
_cell_length_b 4.687
_cell_length_c 6.688
_cell_angle_alpha 90.00
_cell_angle_beta 97.42
_cell_angle_gamma 90.00
loop_
_space_group_symop_operation_xyz
'x,y,z'
loop_
_atom_site_label
_atom_site_type_symbol
_atom_site_fract_x
_atom_site_fract_y
_atom_site_fract_z
Tl1 Tl 0.249 0.000 0.120
Tl2 Tl 0.751 0.500 0.880
Ge1 Ge 0.378 0.001 0.649
Ge2 Ge 0.622 0.501 0.351
Au1 Au 0.168 0.501 0.535
Au2 Au 0.832 0.001 0.465
```

No. 8
Computed, not measured: crystalline Ba2ZrZnNi at its relaxed geometry at the PBE level of DFT.

Output
- SG = P4/mmm, No. 123
- energy of formation (eV per atom) = 0.36

Cell and atoms, written as CIF:
```
data_Ba2ZrZnNi
_space_group_name_H-M_alt 'P 1'
_space_group_IT_number 1
_cell_length_a 6.166
_cell_length_b 6.166
_cell_length_c 4.783
_cell_angle_alpha 90.00
_cell_angle_beta 90.00
_cell_angle_gamma 90.00
loop_
_space_group_symop_operation_xyz
'x,y,z'
loop_
_atom_site_label
_atom_site_type_symbol
_atom_site_fract_x
_atom_site_fract_y
_atom_site_fract_z
Ba1 Ba 0.000 0.500 0.000
Ba2 Ba 0.500 0.000 0.000
Zr1 Zr 0.000 0.000 0.500
Zn1 Zn 0.500 0.500 0.500
Ni1 Ni 0.000 0.000 0.000
```

Number 1: calculated density 6.562 g cm⁻³, total energy -6.908 eV per atom. Number 2: calculated density 10.336 g cm⁻³, total energy -6.009 eV per atom. Number 3: calculated density 5.238 g cm⁻³, total energy -6.820 eV per atom. Number 4: calculated density 5.036 g cm⁻³, total energy -5.231 eV per atom. Number 5: calculated density 7.223 g cm⁻³, total energy -4.778 eV per atom. Number 6: calculated density 1.713 g cm⁻³, total energy -4.294 eV per atom. Number 7: calculated density 10.412 g cm⁻³, total energy -3.413 eV per atom. Number 8: calculated density 4.474 g cm⁻³, total energy -3.531 eV per atom.